# 1
Pr2Zn12Cu3Ir | PBE | relaxed

Cell: 5.8243 5.8243 33.2213 Å, 90.00 90.00 120.00°
Space group R-3m (No. 166, hexagonal axes)
Inequivalent atoms, fractional coordinates:
Pr  0.0000  0.0000  0.1420
Zn  0.0051  0.5025  0.1076
Zn  0.0356  0.5178  0.6154
Cu  0.0000  0.5000  0.0000
Ir  0.0000  0.0000  0.5000

Summary:
Its calculated total energy is -2.609 eV/atom. As for the total magnetization: 0.0 μB/f.u. For the formation energy, the calculation gives -0.05 eV/atom.

# 2
Li8InAu6 | PBE | relaxed

Cell: 7.8336 7.8336 16.1494 Å, 90.00 90.00 120.00°
Space group R-3 (No. 148, hexagonal axes)
Inequivalent atoms, fractional coordinates:
Li  0.0000  0.0000  0.1651
Li  0.0036  0.6757  0.6180
In  0.0000  0.0000  0.5000
Au  0.0017  0.6527  0.4486

Summary:
Its calculated total energy is -2.913 eV/atom. As for the total magnetization: 0.0 μB/f.u. For the formation energy, the calculation gives -0.40 eV/atom.

# 3
BaGaSbPt2 | PBE | relaxed

Cell: 5.0615 5.0615 6.2957 Å, 90.00 90.00 90.00°
Space group P4/mmm (No. 123)
Inequivalent atoms, fractional coordinates:
Ba  0.0000  0.0000  0.0000
Ga  0.5000  0.5000  0.0000
Sb  0.0000  0.0000  0.5000
Pt  0.0000  0.5000  0.5000

Summary:
Its calculated total energy is -3.965 eV/atom. As for the total magnetization: 0.0 μB/f.u. Its uncorrected formation energy is 0.265 eV/atom.

# 4
Ac6Co2PtI3 | PBE | relaxed

Cell: 7.5224 13.0290 8.9716 Å, 90.00 106.20 90.00°
Space group C2/m (No. 12)
Inequivalent atoms, fractional coordinates:
Ac  0.2144  0.0000  0.1822
Ac  0.2340  0.3269  0.1826
Co  0.0000  0.1667  0.0000
Pt  0.0000  0.5000  0.0000
I  0.0000  0.0000  0.5000
I  0.0000  0.3334  0.5000

Summary:
Its calculated total energy is -4.958 eV/atom. As for the total magnetization: 0.0 μB/f.u. Its uncorrected formation energy is -0.829 eV/atom.

# 5
CuRuRh2 | PBE | relaxed

Cell: 3.7529 3.7529 7.7743 Å, 90.00 90.00 90.00°
Space group I-4m2 (No. 119)
Inequivalent atoms, fractional coordinates:
Cu  0.0000  0.0000  0.0000
Ru  0.0000  0.5000  0.2500
Rh  0.0000  0.0000  0.5000
Rh  0.0000  0.5000  0.7500

Summary:
Its calculated total energy is -6.894 eV/atom. As for the total magnetization: 0.0 μB/f.u. For the formation energy, the calculation gives 0.13 eV/atom.

# 6
CsLaSb2Te | PBE | relaxed

Cell: 5.9484 5.9484 6.1096 Å, 90.00 90.00 90.00°
Space group P4/mmm (No. 123)
Inequivalent atoms, fractional coordinates:
Cs  0.0000  0.0000  0.0000
La  0.5000  0.5000  0.5000
Sb  0.0000  0.5000  0.0000
Te  0.0000  0.0000  0.5000

Summary:
Its calculated total energy is -2.733 eV/atom. As for the total magnetization: 0.0 μB/f.u. Its uncorrected formation energy is 0.700 eV/atom.